Below is a geometry-optimized AcH4F8 structure, with properties calculated at the PBE level.

a b c (Å): 4.3616 4.5815 8.8685
angles (deg): 90.95 99.59 117.09
With the nearest neighbours (Å) after each atom.
Fractional positions:
Ac (0.0000, 0.0000, 0.0000)  10 F 2.51-2.79
H (0.0983, 0.8163, 0.3893)  2 F 1.10-1.22
H (0.4220, 0.4908, 0.7232)  1 F 1.00
H (0.5780, 0.5092, 0.2768)  1 F 1.00
H (0.9017, 0.1837, 0.6107)  2 F 1.10-1.22
F (0.0719, 0.2708, 0.7258)  1 H 1.10
F (0.2628, 0.8935, 0.5210)  1 H 1.22
F (0.3250, 0.3475, 0.2671)  1 H 1.00
F (0.3442, 0.6850, 0.0059)  3 Ac 2.51-2.79, 4 F 2.58-2.80, 2 H 2.73-2.77
F (0.6558, 0.3150, 0.9941)  3 Ac 2.51-2.79, 4 F 2.58-2.80, 2 H 2.73-2.77
F (0.6750, 0.6525, 0.7329)  1 H 1.00
F (0.7372, 0.1065, 0.4790)  1 H 1.22
F (0.9281, 0.7292, 0.2742)  1 H 1.10

## Properties
Uncorrected energy = -61.3 eV per formula unit
Total magnetic moment = 1.0 μB per cell